Here is a relaxed HgAs crystal from Alexandria. Energies are from PBE.

a b c (Å): 3.093 3.093 5.297
angles (deg): 90.00 90.00 120.00
Fractional coordinates of all 2 atoms:
Hg 0.000 0.000 0.000
As 0.667 0.333 0.500

Values from the calculation:
Energy of formation (eV per atom): 0.41
Calculated volume (Å³/f.u.): 43.9
Electronic total energy (eV per atom): -2.06

Here is a relaxed Hg3As crystal from Alexandria. Energies are from PBE.

a b c (Å): 7.032 7.032 7.032
angles (deg): 156.56 133.41 52.79
Fractional coordinates of all 4 atoms:
Hg 0.000 0.000 0.000
Hg 0.273 0.773 0.500
Hg 0.727 0.227 0.500
As 0.500 0.500 0.000

Values from the calculation:
Energy of formation (eV per atom): 0.22
Calculated volume (Å³/f.u.): 100.1
Electronic total energy (eV per atom): -1.16

Here is a relaxed Hg3As crystal from Alexandria. Energies are from PBE.

a b c (Å): 2.908 5.835 5.950
angles (deg): 90.00 90.00 90.00
Fractional coordinates of all 4 atoms:
Hg 0.000 0.000 0.000
Hg 0.500 0.251 0.500
Hg 0.500 0.749 0.500
As 0.000 0.500 0.000

Values from the calculation:
Energy of formation (eV per atom): 0.22
Calculated volume (Å³/f.u.): 101.0
Electronic total energy (eV per atom): -1.17

Here is a relaxed HgAs4 crystal from Alexandria. Energies are from PBE.

a b c (Å): 5.145 5.145 5.145
angles (deg): 90.00 90.00 90.00
Fractional coordinates of all 5 atoms:
Hg 0.000 0.000 0.000
As 0.000 0.000 0.500
As 0.000 0.500 0.000
As 0.500 0.000 0.000
As 0.500 0.500 0.500

Values from the calculation:
Energy of formation (eV per atom): 1.24
Calculated volume (Å³/f.u.): 136.2
Electronic total energy (eV per atom): -2.54

Here is a relaxed HgAs crystal from Alexandria. Energies are from PBE.

a b c (Å): 3.599 3.600 10.777
angles (deg): 80.45 89.66 60.01
Fractional coordinates of all 4 atoms:
Hg 0.212 0.072 0.138
Hg 0.788 0.928 0.862
As 0.354 0.790 0.566
As 0.646 0.210 0.434

Values from the calculation:
Energy of formation (eV per atom): 0.00
Calculated volume (Å³/f.u.): 59.4
Electronic total energy (eV per atom): -2.48

Here is a relaxed Hg3As crystal from Alexandria. Energies are from PBE.

a b c (Å): 5.872 5.872 5.872
angles (deg): 149.34 96.42 91.60
Fractional coordinates of all 4 atoms:
Hg 0.000 0.000 0.000
Hg 0.480 0.725 0.754
Hg 0.971 0.725 0.246
As 0.486 0.986 0.500

Values from the calculation:
Energy of formation (eV per atom): 0.19
Calculated volume (Å³/f.u.): 99.5
Electronic total energy (eV per atom): -1.19

Here is a relaxed HgAs crystal from Alexandria. Energies are from PBE.

a b c (Å): 8.182 8.182 8.182
angles (deg): 96.57 96.57 140.45
Fractional coordinates of all 8 atoms:
Hg 0.000 0.236 0.236
Hg 0.000 0.764 0.764
Hg 0.236 0.000 0.236
Hg 0.764 0.000 0.764
As 0.236 0.236 0.473
As 0.236 0.764 0.000
As 0.764 0.236 0.000
As 0.764 0.764 0.527

Values from the calculation:
Energy of formation (eV per atom): 0.14
Calculated volume (Å³/f.u.): 82.1
Electronic total energy (eV per atom): -2.33

Here is a relaxed HgAs crystal from Alexandria. Energies are from PBE.

a b c (Å): 6.823 7.611 8.262
angles (deg): 90.00 90.00 90.00
Fractional coordinates of all 16 atoms:
Hg 0.043 0.149 0.179
Hg 0.043 0.351 0.679
Hg 0.457 0.649 0.179
Hg 0.457 0.851 0.679
Hg 0.543 0.149 0.321
Hg 0.543 0.351 0.821
Hg 0.957 0.649 0.321
Hg 0.957 0.851 0.821
As 0.135 0.565 0.919
As 0.135 0.935 0.419
As 0.365 0.065 0.919
As 0.365 0.435 0.419
As 0.635 0.565 0.581
As 0.635 0.935 0.081
As 0.865 0.065 0.581
As 0.865 0.435 0.081

Values from the calculation:
Energy of formation (eV per atom): 0.08
Calculated volume (Å³/f.u.): 53.6
Electronic total energy (eV per atom): -2.40